1.
Material: Ag6PdAu4
Method: DFT, PBE
State: optimized geometry

## Properties
M_tot, μB/cell: 0.000
VASP energy, eV/atom: -3.133

Unit cell a=8.1414 b=8.1414 c=8.1414 alpha=140.82 beta=140.82 gamma=56.61
Atoms (fractional coordinates):
Ag1 0.0000 0.5000 0.5000
Ag2 0.0206 0.6406 0.0000
Ag3 0.3594 0.3594 0.3800
Ag4 0.5000 0.0000 0.5000
Ag5 0.6406 0.0206 0.0000
Ag6 0.9794 0.9794 0.6200
Pd1 0.0000 0.0000 0.0000
Au1 0.1789 0.1789 0.6286
Au2 0.4497 0.8211 0.0000
Au3 0.5503 0.5503 0.3714
Au4 0.8211 0.4497 0.0000


2.
Material: Ac6GaGe2I3
Method: DFT, PBE
State: optimized geometry

## Properties
M_tot, μB/cell: 0.000
VASP energy, eV/atom: -4.390

Unit cell a=10.7488 b=10.7488 c=9.6592 alpha=105.69 beta=105.69 gamma=25.11
Atoms (fractional coordinates):
Ac1 0.0100 0.0100 0.2246
Ac2 0.3229 0.3229 0.4431
Ac3 0.3435 0.3435 0.8917
Ac4 0.6565 0.6565 0.1083
Ac5 0.6771 0.6771 0.5569
Ac6 0.9900 0.9900 0.7754
Ga1 0.5000 0.5000 0.0000
Ge1 0.1673 0.1673 0.3342
Ge2 0.8327 0.8327 0.6658
I1 0.1673 0.1673 0.8319
I2 0.5000 0.5000 0.5000
I3 0.8327 0.8327 0.1681


3.
Material: TlRh2
Method: DFT, PBE
State: optimized geometry

## Properties
M_tot, μB/cell: 0.001
VASP energy, eV/atom: -5.405

Unit cell a=4.4920 b=4.4920 c=2.9543 alpha=90.00 beta=90.00 gamma=120.00
Atoms (fractional coordinates):
Tl1 0.0000 0.0000 0.0000
Rh1 0.3333 0.6667 0.5000
Rh2 0.6667 0.3333 0.5000


4.
Material: Pt2RhBr
Method: DFT, PBE
State: optimized geometry

## Properties
M_tot, μB/cell: 0.000
VASP energy, eV/atom: -4.681

Unit cell a=5.7918 b=5.7918 c=5.7918 alpha=102.44 beta=102.44 gamma=124.69
Atoms (fractional coordinates):
Pt1 0.1242 0.6250 0.9992
Pt2 0.3750 0.3742 0.4992
Pt3 0.6258 0.1250 0.0008
Pt4 0.8750 0.8758 0.5008
Rh1 0.0000 0.0000 0.0000
Rh2 0.7500 0.2500 0.5000
Br1 0.2500 0.7500 0.5000
Br2 0.5000 0.5000 0.0000


5.
Material: Ba2LaSi
Method: DFT, PBE
State: optimized geometry

## Properties
M_tot, μB/cell: 0.000
VASP energy, eV/atom: -3.473

Unit cell a=8.5008 b=8.5008 c=8.5008 alpha=97.12 beta=97.12 gamma=138.76
Atoms (fractional coordinates):
Ba1 0.0038 0.1250 0.3788
Ba2 0.3750 0.9962 0.1212
Ba3 0.7462 0.6250 0.6212
Ba4 0.8750 0.2538 0.8788
La1 0.2500 0.7500 0.5000
La2 0.5000 0.5000 0.0000
Si1 0.0000 0.0000 0.0000
Si2 0.7500 0.2500 0.5000


6.
Material: LiCd2Rh
Method: DFT, PBE
State: optimized geometry

## Properties
M_tot, μB/cell: 0.000
VASP energy, eV/atom: -2.970

Unit cell a=5.1585 b=5.1585 c=4.6427 alpha=108.53 beta=108.53 gamma=36.20
Atoms (fractional coordinates):
Li1 0.0000 0.0000 0.0000
Cd1 0.2415 0.2415 0.7880
Cd2 0.4747 0.4747 0.4651
Rh1 0.7281 0.7281 0.2773